No. 1
Crystalline KSr3Rh at its relaxed geometry. Source: Alexandria, functional PBE.

a b c (Å): 7.1875 7.1875 10.7714
angles (deg): 70.51 70.51 90.00
With the nearest neighbours (Å) after each atom.
Fractional positions:
Sr 0.1402 0.8839 0.2322  2 Rh 2.87-3.09
Sr 0.1161 0.8598 0.7678  2 Rh 2.87-3.09
Sr 0.1161 0.3724 0.7678  2 Rh 2.87-3.09
Sr 0.6276 0.8839 0.2322  2 Rh 2.87-3.09
Sr 0.2934 0.2934 0.4132  2 Rh 3.69, 2 Sr 3.84
Sr 0.7066 0.7066 0.5868  2 Rh 3.69, 2 Sr 3.84
K 0.5711 0.0711 0.8578  2 Rh 3.84, 6 Sr 3.96-4.13
K 0.9289 0.4289 0.1422  2 Rh 3.84, 6 Sr 3.96-4.13
Rh 0.0000 0.0000 0.0000  4 Sr 2.87
Rh 0.2500 0.7500 0.5000  4 Sr 3.09

Computed properties:
For the electronic total energy, the calculation gives -2.51 eV/atom. For the energy of formation from the pure elements, the calculation gives 0.189 eV/atom. The value obtained for the total moment is 0.0 μB per formula unit. The calculation puts the calculated volume at 49.1 Å³/atom. Its energy above the lowest structure with this stoichiometry is 1.63 eV per formula unit.

---

No. 2
Crystalline ScAgMo2Pt at its relaxed geometry. Source: Alexandria, functional PBE.

a b c (Å): 4.6585 4.7456 4.6585
angles (deg): 90.00 90.00 90.00
With the nearest neighbours (Å) after each atom.
Fractional positions:
Sc 0.0000 0.0000 0.0000  4 Mo 2.33, 2 Pt 2.37
Mo 0.0000 0.0000 0.5000  2 Sc 2.33
Mo 0.5000 0.0000 0.0000  2 Sc 2.33
Ag 0.5000 0.5000 0.5000  4 Pt 3.29, 8 Mo 3.32
Pt 0.0000 0.5000 0.0000  2 Sc 2.37

Computed properties:
For the electronic total energy, the calculation gives -5.79 eV/atom. For the energy of formation from the pure elements, the calculation gives 1.588 eV/atom. The value obtained for the total moment is 0.0 μB per formula unit. The calculation puts the calculated volume at 20.6 Å³/atom.

---

No. 3
Crystalline BaTiCu2W at its relaxed geometry. Source: Alexandria, functional PBE.

a b c (Å): 4.9312 5.2582 4.9312
angles (deg): 90.00 90.00 90.00
With the nearest neighbours (Å) after each atom.
Fractional positions:
Cu 0.0000 0.0000 0.5000  2 Ba 2.47
Cu 0.5000 0.0000 0.0000  2 Ba 2.47
Ba 0.0000 0.0000 0.0000  4 Cu 2.47, 2 W 2.63
W 0.0000 0.5000 0.0000  2 Ba 2.63
Ti 0.5000 0.5000 0.5000  4 W 3.49, 8 Cu 3.60

Computed properties:
For the electronic total energy, the calculation gives -3.71 eV/atom. For the energy of formation from the pure elements, the calculation gives 2.485 eV/atom. The value obtained for the total moment is 0.0 μB per formula unit. The calculation puts the calculated volume at 25.6 Å³/atom.